The following is a DFT calculation (PBE) of a geometry-optimized KNdEu2 structure.

```
data_KNdEu2
_cell_length_a 3.846
_cell_length_b 3.846
_cell_length_c 12.339
_cell_angle_alpha 90.00
_cell_angle_beta 90.00
_cell_angle_gamma 90.00
_space_group_name_H-M_alt 'P 1'
_space_group_IT_number 1
loop_
_space_group_symop_operation_xyz
'x,y,z'
loop_
_atom_site_label
_atom_site_type_symbol
_atom_site_fract_x
_atom_site_fract_y
_atom_site_fract_z
_atom_site_occupancy
Eu1 Eu 0.000 0.000 0.787 1
Eu2 Eu 0.000 0.000 0.213 1
K1 K 0.500 0.500 0.500 1
Nd1 Nd 0.500 0.500 0.000 1
```

* energy of formation: 138 meV per atom
* density: 4.433 g/cm³
* space group: P4/mmm, No. 123